# KNiS2O8, relaxed, DFT PBE+U
data_KNiS2O8
_symmetry_space_group_name_H-M 'P -3'
_symmetry_Int_Tables_number 147
_cell_length_a 4.9211
_cell_length_b 4.9211
_cell_length_c 8.0397
_cell_angle_alpha 90.00
_cell_angle_beta 90.00
_cell_angle_gamma 120.00
loop_
_symmetry_equiv_pos_as_xyz
'x,y,z'
'-x,-y,-z'
'-y,x-y,z'
'y,-x+y,-z'
'-x+y,-x,z'
'x-y,x,-z'
loop_
_atom_site_label
_atom_site_fract_x
_atom_site_fract_y
_atom_site_fract_z
K1 0.0000 0.0000 0.0000
Ni1 0.0000 0.0000 0.5000
S1 0.3333 0.6667 0.7142
O1 0.0713 0.3593 0.6562
O2 0.3333 0.6667 0.8982
# D(E_F) = 9.2 states/eV per cell
# energy = -68.1 eV/cell